The following is a DFT calculation (PBE) of LiGeMo2 after structural relaxation.

Structure (POSCAR):
```
LiGeMo2
1.0
-0.1983 -6.8321 -1.2235
2.9154 -1.1928 6.1880
-1.0092 -4.1391 3.5734
Mo Ge Li
4 2 2
Direct
0.6370 0.1250 0.2500
0.1130 0.6250 0.2500
0.3750 0.3630 0.7500
0.8750 0.8870 0.7500
0.0000 0.0000 0.0000
0.7500 0.2500 0.5000
0.5000 0.5000 0.0000
0.2500 0.7500 0.5000
```

## Properties
The uncorrected energy is -52.24 eV per cell. The value obtained for the formation energy is 0.5187 eV/atom. As for the magnetic moment: 0.00 μB/cell. Its space-group type is I-42d (122).